Entry w
Computed, not measured: a relaxed structure of MgHgS2 at the GGA-PBE level of DFT.

abc: 12.4830 12.4830 3.8823
angles: 90.00 90.00 163.00
Positions (direct):
Mg: 0.3077 0.6923 0.2500
Mg: 0.6923 0.3077 0.7500
S: 0.2023 0.7977 0.2500
S: 0.7977 0.2023 0.7500
S: 0.8933 0.1067 0.2500
S: 0.1067 0.8933 0.7500
Hg: 0.0428 0.9572 0.2500
Hg: 0.9572 0.0428 0.7500

=====

Entry x
Computed, not measured: a relaxed structure of MgHgS2 at the GGA-PBE level of DFT.

abc: 5.3192 5.3192 6.8261
angles: 67.07 67.07 90.00
Positions (direct):
Mg: 0.5000 0.5000 0.0000
Mg: 0.2500 0.7500 0.5000
S: 0.7318 0.7318 0.5364
S: 0.0182 0.5182 0.9636
S: 0.2682 0.2682 0.4636
S: 0.4818 0.9818 0.0364
Hg: 0.0000 0.0000 0.0000
Hg: 0.7500 0.2500 0.5000

=====

Entry y
Computed, not measured: a relaxed structure of MgHgS2 at the GGA-PBE level of DFT.

abc: 3.8388 3.8388 5.4423
angles: 90.00 90.00 90.00
Positions (direct):
Mg: 0.0000 0.0000 0.5000
S: 0.5000 0.5000 0.5000
S: 0.0000 0.0000 0.0000
Hg: 0.5000 0.5000 0.0000

=====

Stability ranking, top and bottom: entry x is the most stable and entry w is the least stable.

=====

Entry w
Computed, not measured: a relaxed structure of Mg2HgS2 at the GGA-PBE level of DFT.

abc: 4.4734 4.4734 7.6108
angles: 72.91 72.91 90.00
Positions (direct):
Mg: 0.7500 0.2500 0.5000
Mg: 0.2500 0.7500 0.5000
S: 0.3280 0.3280 0.3439
S: 0.6720 0.6720 0.6561
Hg: 0.0000 0.0000 0.0000

=====

Entry x
Computed, not measured: a relaxed structure of Mg2HgS2 at the GGA-PBE level of DFT.

abc: 4.9645 4.9645 7.3808
angles: 70.35 70.35 90.00
Positions (direct):
Mg: 0.2400 0.2400 0.5200
Mg: 0.7600 0.7600 0.4800
S: 0.7500 0.2500 0.5000
S: 0.2500 0.7500 0.5000
Hg: 0.0000 0.0000 0.0000

=====

Stability ranking, top and bottom: entry w is the most stable and entry x is the least stable.

=====

Entry w
Computed, not measured: a relaxed structure of MgHgS at the GGA-PBE level of DFT.

abc: 4.1830 4.1887 11.5136
angles: 90.22 90.01 119.95
Positions (direct):
Mg: 0.9920 0.9683 0.0560
Mg: 0.3231 0.6306 0.8614
Hg: 0.3241 0.6388 0.5625
Hg: 0.9906 0.9717 0.3545
S: 0.3249 0.6346 0.0860
S: 0.9898 0.9644 0.8314

=====

Entry x
Computed, not measured: a relaxed structure of MgHgS at the GGA-PBE level of DFT.

abc: 4.1560 5.3184 7.8209
angles: 109.88 105.41 90.00
Positions (direct):
S: 0.8081 0.3081 0.6162
S: 0.1919 0.6919 0.3838
Hg: 0.5000 0.7482 0.0000
Hg: 0.5000 0.2518 0.0000
Mg: 0.2169 0.2169 0.4338
Mg: 0.7831 0.7831 0.5662

=====

Entry y
Computed, not measured: a relaxed structure of MgHgS at the GGA-PBE level of DFT.

abc: 3.9616 3.9616 5.7909
angles: 90.00 90.00 120.00
Positions (direct):
Mg: 0.3333 0.6667 0.5662
S: 0.6667 0.3333 0.4395
Hg: 0.0000 0.0000 0.9944

=====

Entry z
Computed, not measured: a relaxed structure of MgHgS at the GGA-PBE level of DFT.

abc: 3.6010 3.6011 11.3304
angles: 90.00 90.00 90.00
Positions (direct):
Mg: 0.2830 0.0000 0.9399
Mg: 0.7829 0.5000 0.1427
Hg: 0.7789 0.5000 0.4323
Hg: 0.2806 0.0000 0.6505
S: 0.7831 0.5000 0.9160
S: 0.2830 0.0000 0.1667

=====

Stability ranking, top and bottom: entry z is the most stable and entry x is the least stable.

=====

Entry w
Computed, not measured: a relaxed structure of MgHgS at the GGA-PBE level of DFT.

abc: 11.7779 4.1910 7.2507
angles: 90.00 101.84 90.00
Positions (direct):
Mg: 0.0975 0.9552 0.1996
Mg: 0.9025 0.9552 0.8004
Mg: 0.0975 0.4552 0.6996
Mg: 0.9025 0.4552 0.3004
Hg: 0.6048 0.4406 0.2018
Hg: 0.3952 0.4406 0.7982
Hg: 0.6048 0.9406 0.7018
Hg: 0.3952 0.9406 0.2982
S: 0.1271 0.4553 0.3758
S: 0.8729 0.4553 0.6242
S: 0.1271 0.9553 0.8758
S: 0.8729 0.9553 0.1242

=====

Entry x
Computed, not measured: a relaxed structure of MgHgS at the GGA-PBE level of DFT.

abc: 4.2740 8.1599 4.6626
angles: 90.00 90.00 90.00
Positions (direct):
Mg: 0.0000 0.9745 0.5000
Mg: 0.5000 0.0255 0.0000
Hg: 0.0000 0.4185 0.0000
Hg: 0.5000 0.5815 0.5000
S: 0.0000 0.8698 0.0000
S: 0.5000 0.1302 0.5000

=====

Stability ranking, top and bottom: entry w is the most stable and entry x is the least stable.

=====

Entry w
Computed, not measured: a relaxed structure of MgHg2Sb2 at the GGA-PBE level of DFT.

abc: 7.8025 7.8025 4.2902
angles: 90.00 90.00 90.00
Positions (direct):
Sb: 0.1492 0.6492 0.5000
Sb: 0.6492 0.8508 0.5000
Sb: 0.8508 0.3508 0.5000
Sb: 0.3508 0.1492 0.5000
Mg: 0.0000 0.0000 0.0000
Mg: 0.5000 0.5000 0.0000
Hg: 0.3491 0.8491 0.0000
Hg: 0.8491 0.6509 0.0000
Hg: 0.6509 0.1509 0.0000
Hg: 0.1509 0.3491 0.0000

=====

Entry x
Computed, not measured: a relaxed structure of MgHg2Sb2 at the GGA-PBE level of DFT.

abc: 4.2517 4.2517 8.4777
angles: 75.48 75.48 90.00
Positions (direct):
Sb: 0.7500 0.2500 0.5000
Sb: 0.2500 0.7500 0.5000
Mg: 0.0000 0.0000 0.0000
Hg: 0.4091 0.4091 0.1817
Hg: 0.5909 0.5909 0.8183

=====

Entry y
Computed, not measured: a relaxed structure of MgHg2Sb2 at the GGA-PBE level of DFT.

abc: 7.4364 7.4364 5.1240
angles: 90.00 90.00 90.00
Positions (direct):
Sb: 0.3640 0.8640 0.0000
Sb: 0.8640 0.6360 0.0000
Sb: 0.6360 0.1360 0.0000
Sb: 0.1360 0.3640 0.0000
Mg: 0.0000 0.0000 0.0000
Mg: 0.5000 0.5000 0.0000
Hg: 0.1809 0.6809 0.5000
Hg: 0.6809 0.8191 0.5000
Hg: 0.8191 0.3191 0.5000
Hg: 0.3191 0.1809 0.5000

=====

Stability ranking, top and bottom: entry y is the most stable and entry x is the least stable.

=====

Entry w
Computed, not measured: a relaxed structure of Mg2HgSb at the GGA-PBE level of DFT.

abc: 5.6455 5.6455 4.4096
angles: 89.89 89.89 43.86
Positions (direct):
Hg: 0.7356 0.7356 0.8744
Mg: 0.0026 0.0026 0.8761
Mg: 0.2402 0.2402 0.3732
Sb: 0.5215 0.5215 0.3763

=====

Entry x
Computed, not measured: a relaxed structure of Mg2HgSb at the GGA-PBE level of DFT.

abc: 3.9747 3.3516 7.7800
angles: 62.86 90.00 90.00
Positions (direct):
Hg: 0.5000 0.7500 0.7500
Mg: 0.0000 0.0092 0.9928
Mg: 0.0000 0.4908 0.5072
Sb: 0.5000 0.2500 0.2500

=====

Entry y
Computed, not measured: a relaxed structure of Mg2HgSb at the GGA-PBE level of DFT.

abc: 5.1932 5.1932 9.3611
angles: 73.90 73.90 90.00
Positions (direct):
Sb: 0.5000 0.5000 0.0000
Sb: 0.2500 0.7500 0.5000
Mg: 0.6314 0.1250 0.2500
Mg: 0.1186 0.6250 0.2500
Mg: 0.3750 0.3686 0.7500
Mg: 0.8750 0.8814 0.7500
Hg: 0.0000 0.0000 0.0000
Hg: 0.7500 0.2500 0.5000

=====

Entry z
Computed, not measured: a relaxed structure of Mg2HgSb at the GGA-PBE level of DFT.

abc: 3.2818 3.2818 9.1431
angles: 90.00 90.00 90.00
Positions (direct):
Hg: 0.5000 0.5000 0.7788
Mg: 0.0000 0.0000 0.9995
Mg: 0.5000 0.5000 0.2449
Sb: 0.0000 0.0000 0.4768

=====

Stability ranking, top and bottom: entry w is the most stable and entry z is the least stable.